# 1
# AcZn2Ir

A relaxed structure of AcZn2Ir (PBE, the Alexandria database).

Summary:
**Total DFT energy (no corrections)**: -47.3 eV per cell
**Crystal system**: trigonal

a = 5.0418 Å, b = 5.0418 Å, c = 11.4590 Å
α = 90.00°, β = 90.00°, γ = 120.00°
Space group R-3m (No. 166, hexagonal axes)
One atom of each set of equivalent atoms:
Ac1 0.0000 0.0000 0.0000 x3
Zn1 0.0000 0.0000 0.2669 x6
Ir1 0.0000 0.0000 0.5000 x3

=====

# 2
# CuPHCl2

A relaxed structure of CuPHCl2 (PBE, the Alexandria database).

Summary:
**Total DFT energy (no corrections)**: -13.0 eV per cell
**Crystal system**: tetragonal

a = 4.9444 Å, b = 4.9444 Å, c = 4.3386 Å
α = 90.00°, β = 90.00°, γ = 90.00°
Space group P4/mmm (No. 123)
One atom of each set of equivalent atoms:
Cu1 0.0000 0.0000 0.0000 x1
P1 0.0000 0.0000 0.5000 x1
H1 0.5000 0.5000 0.5000 x1
Cl1 0.0000 0.5000 0.0000 x2

=====

# 3
# Na2Ac4Ir

A relaxed structure of Na2Ac4Ir (PBE, the Alexandria database).

Summary:
**Total DFT energy (no corrections)**: -56.5 eV per cell
**Crystal system**: tetragonal

a = 5.8711 Å, b = 5.8711 Å, c = 18.4326 Å
α = 90.00°, β = 90.00°, γ = 90.00°
Space group I4/mmm (No. 139)
One atom of each set of equivalent atoms:
Na1 0.0000 0.0000 0.1377 x4
Ac1 0.0000 0.0000 0.3393 x4
Ac2 0.0000 0.5000 0.0000 x4
Ir1 0.0000 0.0000 0.5000 x2